No. 1
A geometry-optimized U2ZnAs structure, computed with PBE.

abc: 2.8805 5.4144 5.4144
angles: 90.00 90.00 90.00
Last column: magnetic moment on the atom in μB.
Sites, in units of the cell vectors:
1 Zn 0.5000 0.5000 0.5000  0.01
2 U 0.0000 0.5000 0.0000  2.74
3 U 0.0000 0.0000 0.5000  2.74
4 As 0.5000 0.0000 0.0000  -0.07

Calculated values
- ρ (g/cm³) = 12.1
- SG = P4/mmm (123)
- energy of formation (kJ/mol of atoms) = -7

---

No. 2
A geometry-optimized Pu2CrCl6 structure, computed with PBE.

abc: 6.5115 6.5115 12.1768
angles: 90.00 90.00 90.00
Last column: magnetic moment on the atom in μB.
Sites, in units of the cell vectors:
1 Cl 0.8045 0.1955 0.1555  -0.03
2 Cl 0.7907 0.2093 0.5000  -0.04
3 Cl 0.1955 0.8045 0.8445  -0.03
4 Cl 0.3045 0.3045 0.6555  -0.03
5 Cl 0.3045 0.3045 0.3445  -0.03
6 Cl 0.8045 0.1955 0.8445  -0.03
7 Cl 0.6955 0.6955 0.3445  -0.03
8 Cl 0.2907 0.2907 0.0000  -0.04
9 Cl 0.7093 0.7093 0.0000  -0.04
10 Cl 0.6955 0.6955 0.6555  -0.03
11 Cl 0.1955 0.8045 0.1555  -0.03
12 Cl 0.2093 0.7907 0.5000  -0.04
13 Cr 0.5000 0.5000 0.5000  4.07
14 Cr 0.0000 0.0000 0.0000  4.07
15 Pu 0.5000 0.5000 0.8331  5.59
16 Pu 0.0000 0.0000 0.3331  5.59
17 Pu 0.5000 0.5000 0.1669  5.59
18 Pu 0.0000 0.0000 0.6669  5.59

Calculated values
- ρ (g/cm³) = 4.8
- SG = P4_2/mnm (136)
- formation energy without anion corrections (eV per atom) = -1.5015

---

Question: Which of these has the highest ρ?
Answer: U2ZnAs